(1)
# ThAl3Pt

A relaxed ThAl3Pt crystal (PBE-GGA, Alexandria).

Output
Offset from the most stable computed form (eV per formula unit): 0.27
SG: Pnma

Cell lengths 4.285, 8.436, 10.970 Å; angles 90.00, 90.00, 90.00 degrees
Positions (direct):
Th (0.750, 0.815, 0.014)
Th (0.250, 0.685, 0.514)
Th (0.750, 0.315, 0.486)
Th (0.250, 0.185, 0.986)
Al (0.250, 0.560, 0.087)
Al (0.750, 0.440, 0.913)
Al (0.250, 0.060, 0.413)
Al (0.750, 0.940, 0.587)
Al (0.250, 0.386, 0.700)
Al (0.750, 0.114, 0.200)
Al (0.250, 0.886, 0.800)
Al (0.750, 0.642, 0.720)
Al (0.250, 0.358, 0.280)
Al (0.750, 0.142, 0.780)
Al (0.750, 0.614, 0.300)
Al (0.250, 0.858, 0.220)
Pt (0.250, 0.098, 0.647)
Pt (0.250, 0.598, 0.853)
Pt (0.750, 0.402, 0.147)
Pt (0.750, 0.902, 0.353)



(2)
# Be3Au

A relaxed Be3Au crystal (PBE-GGA, Alexandria).

Output
SG: Pm-3n

Cell lengths 4.412, 4.412, 4.412 Å; angles 90.00, 90.00, 90.00 degrees
Positions (direct):
Au (0.000, 0.000, 0.000)
Au (0.500, 0.500, 0.500)
Be (0.750, 0.500, 0.000)
Be (0.250, 0.500, 0.000)
Be (0.000, 0.750, 0.500)
Be (0.000, 0.250, 0.500)
Be (0.500, 0.000, 0.250)
Be (0.500, 0.000, 0.750)



(3)
# Cs2Cd3Ag

A relaxed Cs2Cd3Ag crystal (PBE-GGA, Alexandria).

Output
Offset from the most stable computed form (eV per formula unit): 0.00
SG: C2/c

Cell lengths 5.812, 9.247, 9.247 Å; angles 77.01, 89.98, 89.98 degrees
Positions (direct):
Cs (0.750, 0.157, 0.522)
Cs (0.250, 0.522, 0.157)
Cs (0.750, 0.478, 0.843)
Cs (0.250, 0.843, 0.478)
Cd (0.250, 0.425, 0.575)
Cd (0.750, 0.575, 0.425)
Cd (0.001, 0.890, 0.890)
Cd (0.499, 0.110, 0.110)
Cd (0.501, 0.890, 0.890)
Cd (0.999, 0.110, 0.110)
Ag (0.750, 0.823, 0.177)
Ag (0.250, 0.177, 0.823)



(4)
# Pm2Ho5Tm

A relaxed Pm2Ho5Tm crystal (PBE-GGA, Alexandria).

Output
Offset from the most stable computed form (eV per formula unit): 0.00
SG: Pbam

Cell lengths 5.014, 7.102, 14.205 Å; angles 90.00, 90.00, 90.00 degrees
Positions (direct):
Pm (0.500, 0.249, 0.625)
Pm (0.500, 0.751, 0.375)
Pm (0.500, 0.251, 0.125)
Pm (0.500, 0.749, 0.875)
Ho (0.000, 0.000, 0.000)
Ho (0.000, 0.500, 0.500)
Ho (0.000, 0.498, 0.750)
Ho (0.000, 0.502, 0.250)
Ho (0.000, 0.002, 0.250)
Ho (0.000, 0.998, 0.750)
Ho (0.500, 0.249, 0.875)
Ho (0.500, 0.751, 0.125)
Ho (0.500, 0.251, 0.375)
Ho (0.500, 0.749, 0.625)
Tm (0.000, 0.000, 0.500)
Tm (0.000, 0.500, 0.000)



For each record above, in turn, the calculated density of states at the Fermi level values are 0.39 0.25 0.34 1.32 states/eV per atom.
For each record above, in turn, the calculated ΔH_f (0 K) values are -800 -37 -27 20 meV per atom.
For each record above, in turn, the calculated spin magnetization values are 0.00 0.00 0.00 0.00 μB per formula unit.